# La4Y4Tm

An optimized crystal structure of La4Y4Tm (GGA-PBE, Alexandria via LeMat-Bulk).

a b c (Å): 5.192 8.133 8.133
angles (deg): 84.15 71.39 71.39
Fractional positions:
La1 0.333 0.667 0.667
La2 0.000 0.333 0.667
La3 0.000 0.667 0.333
La4 0.667 0.333 0.333
Y1 0.664 0.000 0.673
Y2 0.664 0.673 0.000
Y3 0.336 0.327 0.000
Y4 0.336 0.000 0.327
Tm1 0.000 0.000 0.000

## Properties
**Density**: 5.81 g/cm³
**V**: 34.3 Å³ per atom
**N(E_F)**: 1.9158 states/eV per atom
**Calculated total energy**: -49.8 eV/cell
**Formation enthalpy at 0 K**: 31 meV per atom

# ZnGeRuRh

An optimized crystal structure of ZnGeRuRh (GGA-PBE, Alexandria via LeMat-Bulk).

a b c (Å): 4.271 4.271 4.271
angles (deg): 60.00 60.00 60.00
Fractional positions:
Ru1 0.500 0.500 0.500
Ge1 0.250 0.250 0.250
Zn1 0.750 0.750 0.750
Rh1 0.000 0.000 0.000

## Properties
**Density**: 10.31 g/cm³
**V**: 13.8 Å³ per atom
**N(E_F)**: 0.4722 states/eV per atom
**Calculated total energy**: -23.9 eV/cell
**Formation enthalpy at 0 K**: -353 meV per atom

# TbPr2Y2

An optimized crystal structure of TbPr2Y2 (GGA-PBE, Alexandria via LeMat-Bulk).

a b c (Å): 6.642 12.552 8.683
angles (deg): 90.00 108.04 90.00
Fractional positions:
Pr1 0.248 0.047 0.357
Pr2 0.260 0.547 0.093
Pr3 0.760 0.953 0.093
Pr4 0.748 0.453 0.357
Pr5 0.252 0.547 0.643
Pr6 0.740 0.453 0.907
Pr7 0.752 0.953 0.643
Pr8 0.240 0.047 0.907
Y1 0.425 0.293 0.050
Y2 0.520 0.197 0.702
Y3 0.980 0.697 0.298
Y4 0.575 0.707 0.950
Y5 0.020 0.303 0.702
Y6 0.925 0.207 0.050
Y7 0.480 0.803 0.298
Y8 0.075 0.793 0.950
Tb1 0.746 0.156 0.374
Tb2 0.254 0.844 0.626
Tb3 0.754 0.656 0.626
Tb4 0.246 0.344 0.374

## Properties
**Polymorph energy (0 for the lowest one)**: 0.108 eV/atom
**Density**: 5.97 g/cm³
**V**: 34.4 Å³ per atom
**N(E_F)**: 1.4370 states/eV per atom
**Calculated total energy**: -105.8 eV/cell
**Formation enthalpy at 0 K**: 132 meV per atom

# Sr2Sn3Pd5

An optimized crystal structure of Sr2Sn3Pd5 (GGA-PBE, Alexandria via LeMat-Bulk).

a b c (Å): 4.552 7.459 13.317
angles (deg): 90.00 99.84 90.00
Fractional positions:
Sr1 0.826 0.316 0.653
Sr2 0.528 0.188 0.055
Sr3 0.472 0.688 0.945
Sr4 0.174 0.816 0.347
Pd1 0.294 0.647 0.589
Pd2 0.056 0.514 0.112
Pd3 0.944 0.014 0.888
Pd4 0.126 0.214 0.252
Pd5 0.275 0.050 0.550
Pd6 0.874 0.714 0.748
Pd7 0.706 0.147 0.411
Pd8 0.588 0.762 0.176
Pd9 0.412 0.262 0.824
Pd10 0.725 0.550 0.450
Sn1 0.953 0.386 0.906
Sn2 0.047 0.886 0.094
Sn3 0.224 0.357 0.447
Sn4 0.372 0.930 0.745
Sn5 0.776 0.857 0.553
Sn6 0.628 0.430 0.255

## Properties
**Polymorph energy (0 for the lowest one)**: 0.049 eV/atom
**Density**: 7.93 g/cm³
**V**: 22.3 Å³ per atom
**N(E_F)**: 0.4543 states/eV per atom
**Calculated total energy**: -95.1 eV/cell
**Formation enthalpy at 0 K**: -622 meV per atom

# V3RuW

An optimized crystal structure of V3RuW (GGA-PBE, Alexandria via LeMat-Bulk).

a b c (Å): 5.249 6.415 8.825
angles (deg): 90.00 90.00 90.00
Fractional positions:
Ru1 0.493 0.500 0.250
Ru2 0.007 0.000 0.250
Ru3 0.993 0.000 0.750
Ru4 0.507 0.500 0.750
V1 0.506 0.879 0.841
V2 0.506 0.121 0.659
V3 0.006 0.621 0.341
V4 0.994 0.621 0.841
V5 0.494 0.879 0.341
V6 0.750 0.750 0.561
V7 0.994 0.379 0.659
V8 0.750 0.250 0.939
V9 0.250 0.750 0.061
V10 0.250 0.250 0.439
V11 0.494 0.121 0.159
V12 0.006 0.379 0.159
W1 0.750 0.250 0.428
W2 0.250 0.750 0.572
W3 0.250 0.250 0.928
W4 0.750 0.750 0.072

## Properties
**Polymorph energy (0 for the lowest one)**: 0.158 eV/atom
**Density**: 9.79 g/cm³
**V**: 14.9 Å³ per atom
**N(E_F)**: 1.2412 states/eV per atom
**Calculated total energy**: -192.9 eV/cell
**Formation enthalpy at 0 K**: 274 meV per atom

# B12S

An optimized crystal structure of B12S (GGA-PBE, Alexandria via LeMat-Bulk).

a b c (Å): 5.115 5.115 5.115
angles (deg): 69.54 69.54 69.54
Fractional positions:
B1 0.329 0.010 0.010
B2 0.812 0.287 0.812
B3 0.713 0.188 0.188
B4 0.990 0.671 0.990
B5 0.188 0.188 0.713
B6 0.287 0.812 0.812
B7 0.671 0.990 0.990
B8 0.990 0.990 0.671
B9 0.010 0.329 0.010
B10 0.010 0.010 0.329
B11 0.188 0.713 0.188
B12 0.812 0.812 0.287
S1 0.500 0.500 0.500

## Properties
**Raw formation energy**: 0.3564 eV/atom
**Polymorph energy (0 for the lowest one)**: 0.337 eV/atom
**Density**: 2.37 g/cm³
**V**: 8.7 Å³ per atom
**N(E_F)**: 0.3902 states/eV per atom
**Calculated total energy**: -79.6 eV/cell

# OsRhBr

An optimized crystal structure of OsRhBr (GGA-PBE, Alexandria via LeMat-Bulk).

a b c (Å): 7.409 7.108 2.895
angles (deg): 84.39 72.72 22.89
Fractional positions:
Br1 0.998 0.998 0.002
Os1 0.328 0.328 0.672
Rh1 0.674 0.674 0.326

## Properties
**Raw formation energy**: 0.9610 eV/atom
**Polymorph energy (0 for the lowest one)**: 0.186 eV/atom
**Density**: 12.42 g/cm³
**V**: 16.6 Å³ per atom
**N(E_F)**: 1.2514 states/eV per atom
**Calculated total energy**: -17.4 eV/cell

# EuMnGa2

An optimized crystal structure of EuMnGa2 (GGA-PBE, Alexandria via LeMat-Bulk).

a b c (Å): 4.295 4.295 6.008
angles (deg): 69.06 69.06 60.00
Site moments in Bohr magnetons follow the coordinates.
Fractional positions:
Eu1 0.500 0.500 0.500  6.80
Ga1 0.710 0.710 0.869  -0.04
Ga2 0.290 0.290 0.131  -0.04
Mn1 0.000 0.000 0.000  3.37

## Properties
**Density**: 6.58 g/cm³
**V**: 21.9 Å³ per atom
**N(E_F)**: 2.2102 states/eV per atom
**Calculated total energy**: -26.4 eV/cell
**Formation enthalpy at 0 K**: -216 meV per atom